No. 1
DFT (GGA-PBE) results for Ca2BeAl2Pt5 after structural relaxation.

The calculation puts the volume at 333 Å³/cell. The formation enthalpy at 0 K is -860 meV per atom.

The space group is P4/mbm (No. 127) and the conventional cell measures 10.687, 10.687 and 2.916 Å, with angles of 90.00, 90.00 and 90.00 degrees. Symmetry generates all atoms from Ca at (0.172, 0.328, 0.000), Be at (0.000, 0.000, 0.000), Al at (0.137, 0.637, 0.000), Pt at (0.000, 0.500, 0.500) and Pt at (0.057, 0.817, 0.500).

=====

No. 2
DFT (GGA-PBE) results for ZnP3Ir after structural relaxation.

The calculation puts the volume at 102 Å³/cell. The formation enthalpy at 0 K is 783 meV per atom.

The space group is Pm-3m (No. 221) and the conventional cell measures 4.667, 4.667 and 4.667 Å, with angles of 90.00, 90.00 and 90.00 degrees. Symmetry generates all atoms from Zn at (0.000, 0.000, 0.000), P at (0.000, 0.500, 0.500) and Ir at (0.500, 0.500, 0.500).

=====

No. 3
DFT (GGA-PBE) results for GeMoPd2W after structural relaxation.

The calculation puts the volume at 106 Å³/cell. The formation enthalpy at 0 K is 1654 meV per atom.

The space group is P4/mmm (No. 123) and the conventional cell measures 4.744, 4.744 and 4.717 Å, with angles of 90.00, 90.00 and 90.00 degrees. Symmetry generates all atoms from Ge at (0.000, 0.000, 0.000), Mo at (0.000, 0.000, 0.500), Pd at (0.000, 0.500, 0.500) and W at (0.500, 0.500, 0.000).

=====

No. 4
DFT (GGA-PBE) results for AlReP3 after structural relaxation.

The calculation puts the volume at 92 Å³/cell. The formation enthalpy at 0 K is 1415 meV per atom.

The space group is Pm-3m (No. 221) and the conventional cell measures 4.510, 4.510 and 4.510 Å, with angles of 90.00, 90.00 and 90.00 degrees. Symmetry generates all atoms from Al at (0.000, 0.000, 0.000), Re at (0.500, 0.500, 0.500) and P at (0.000, 0.000, 0.500).

=====

No. 5
DFT (GGA-PBE) results for La3PrMg4 after structural relaxation.

The calculation puts the volume at 247 Å³/cell. The formation enthalpy at 0 K is -112 meV per atom.

The space group is P4/mmm (No. 123) and the conventional cell measures 3.953, 3.953 and 15.814 Å, with angles of 90.00, 90.00 and 90.00 degrees. Symmetry generates all atoms from La at (0.000, 0.000, 0.000), La at (0.000, 0.000, 0.252), Pr at (0.000, 0.000, 0.500), Mg at (0.500, 0.500, 0.126) and Mg at (0.500, 0.500, 0.378).

=====

No. 6
DFT (GGA-PBE) results for NaZn2AgF8 after structural relaxation.

The value obtained for the total energy is -86.715 eV/cell. The calculation puts the volume at 350 Å³/cell.

The space group is I-4m2 (No. 119) and the conventional cell measures 7.062, 7.062 and 7.016 Å, with angles of 90.00, 90.00 and 90.00 degrees. Symmetry generates all atoms from Na at (0.000, 0.000, 0.000), Zn at (0.000, 0.000, 0.500), Zn at (0.000, 0.500, 0.250), Ag at (0.000, 0.500, 0.750), F at (0.000, 0.196, 0.690) and F at (0.000, 0.312, 0.059).